[1]
PBE LuScNiOs, optimized geometry; final energy = -7.414 eV per atom; V = 69 Å³/cell; density of states at the Fermi level = 1.7 states/eV/f.u.; formation enthalpy at 0 K = -0.448 eV/atom
1.0
0.0000 3.2597 3.2597
3.2597 0.0000 3.2597
3.2597 3.2597 0.0000
Lu Sc Ni Os
1 1 1 1
Direct
0.0000 0.0000 0.0000
0.5000 0.5000 0.5000
0.2500 0.2500 0.2500
0.7500 0.7500 0.7500

***

[2]
PBE PmZrTlCu, optimized geometry; final energy = -4.970 eV per atom; V = 94 Å³/cell; density of states at the Fermi level = 3.9 states/eV/f.u.; formation enthalpy at 0 K = -0.030 eV/atom
1.0
0.0000 3.6043 3.6043
3.6043 0.0000 3.6043
3.6043 3.6043 0.0000
Pm Zr Tl Cu
1 1 1 1
Direct
0.0000 0.0000 0.0000
0.5000 0.5000 0.5000
0.2500 0.2500 0.2500
0.7500 0.7500 0.7500